## Dy3Er6Tm (PBE)

Data for Dy3Er6Tm after structural relaxation.

Values from the calculation:
The value obtained for the polymorph energy (0 for the lowest one) is 0.000 eV/atom. The value obtained for the formation energy is 0.1231 eV per atom. The value obtained for the spin magnetization is 0.0000 μB/atom. The density of states at the Fermi level is 1.570 states/eV/atom. The energy is -4.4424 eV per atom.

a b c (Å): 9.4827 20.7483 6.2871
angles (deg): 90.00 90.00 90.00
With the nearest neighbours (Å) after each atom.
Space group Cmc2_1 (No. 36)
Symmetry-distinct sites (fractional):
Dy1 0.0000 0.0792 0.0000 x4  5 Er 3.13-3.47, 2 Dy 3.36
Dy2 0.1687 0.3725 0.6021 x8  2 Dy 3.20-3.36, 5 Er 3.21-3.52, 1 Tm 3.45
Er1 0.0000 0.1986 0.3035 x4  1 Dy 3.13, 1 Tm 3.24, 2 Er 3.37
Er2 0.0000 0.4852 0.2709 x4  4 Er 3.20-3.51, 1 Tm 3.28, 4 Dy 3.52
Er3 0.1764 0.2189 0.7632 x8  2 Dy 3.21-3.34, 3 Er 3.35-3.52, 2 Tm 3.50-3.58
Er4 0.1829 0.0612 0.5260 x8  3 Dy 3.31-3.47, 4 Er 3.47-3.62, 1 Tm 3.67
Tm1 0.0000 0.3387 0.0750 x4  6 Er 3.24-3.58, 2 Dy 3.45